# 1
Here is a relaxed structure of PrCdBi2 from Alexandria via LeMat-Bulk. Energies are from GGA-PBE.

Cell and atoms, written as POSCAR:
```
PrCdBi2
1.0
2.343 1.353 6.973
-2.343 1.353 6.973
0.000 -2.705 6.973
Pr Cd Bi
1 1 2
direct
0.000 0.000 0.000
0.500 0.500 0.500
0.244 0.244 0.244
0.756 0.756 0.756
```

Properties
Size of the total moment   0.0000 μB/atom
Calculated formation energy   -0.99 eV/f.u.



# 2
Here is a relaxed structure of NiAsSe2I from Alexandria via LeMat-Bulk. Energies are from GGA-PBE.

Cell and atoms, written as POSCAR:
```
NiAsSe2I
1.0
4.854 0.000 0.000
0.000 4.854 0.000
0.000 0.000 4.648
Ni As Se I
1 1 2 1
direct
0.000 0.000 0.000
0.000 0.000 0.500
0.000 0.500 0.000
0.500 0.000 0.000
0.500 0.500 0.500
```

Properties
ΔE_f (raw)   0.40 eV/atom
Size of the total moment   0.0000 μB/atom



# 3
Here is a relaxed structure of CrHg6As4Br7 from Alexandria via LeMat-Bulk. Energies are from GGA-PBE.

Cell and atoms, written as POSCAR:
```
CrHg6As4Br7
1.0
12.579 0.000 0.000
0.000 12.579 0.000
0.000 0.000 12.579
Cr Hg As Br
4 24 16 28
direct
0.000 0.000 0.000
0.000 0.500 0.500
0.500 0.000 0.500
0.500 0.500 0.000
0.042 0.192 0.701
0.042 0.308 0.201
0.192 0.701 0.042
0.192 0.799 0.542
0.201 0.042 0.308
0.201 0.458 0.808
0.299 0.542 0.308
0.299 0.958 0.808
0.308 0.201 0.042
0.308 0.299 0.542
0.458 0.692 0.701
0.458 0.808 0.201
0.542 0.192 0.799
0.542 0.308 0.299
0.692 0.701 0.458
0.692 0.799 0.958
0.701 0.042 0.192
0.701 0.458 0.692
0.799 0.542 0.192
0.799 0.958 0.692
0.808 0.201 0.458
0.808 0.299 0.958
0.958 0.692 0.799
0.958 0.808 0.299
0.155 0.655 0.845
0.155 0.845 0.345
0.230 0.230 0.230
0.230 0.270 0.730
0.270 0.730 0.230
0.270 0.770 0.730
0.345 0.155 0.845
0.345 0.345 0.345
0.655 0.655 0.655
0.655 0.845 0.155
0.730 0.230 0.270
0.730 0.270 0.770
0.770 0.730 0.270
0.770 0.770 0.770
0.845 0.155 0.655
0.845 0.345 0.155
0.000 0.000 0.500
0.000 0.500 0.000
0.038 0.544 0.308
0.038 0.956 0.808
0.044 0.192 0.962
0.044 0.308 0.462
0.192 0.538 0.544
0.192 0.962 0.044
0.308 0.038 0.544
0.308 0.462 0.044
0.456 0.692 0.962
0.456 0.808 0.462
0.462 0.044 0.308
0.462 0.456 0.808
0.500 0.000 0.000
0.500 0.500 0.500
0.538 0.544 0.192
0.538 0.956 0.692
0.544 0.192 0.538
0.544 0.308 0.038
0.692 0.538 0.956
0.692 0.962 0.456
0.808 0.038 0.956
0.808 0.462 0.456
0.956 0.692 0.538
0.956 0.808 0.038
0.962 0.044 0.192
0.962 0.456 0.692
```

Properties
ΔE_f (raw)   -0.36 eV/atom
Size of the total moment   0.1663 μB/atom



# 4
Here is a relaxed structure of La8Si3PtBr4 from Alexandria via LeMat-Bulk. Energies are from GGA-PBE.

Cell and atoms, written as POSCAR:
```
La8Si3PtBr4
1.0
4.382 2.530 7.286
-4.382 2.530 7.286
0.000 -5.060 7.286
La Si Pt Br
8 3 1 4
direct
0.240 0.240 0.240
0.241 0.738 0.738
0.262 0.262 0.759
0.262 0.759 0.262
0.738 0.241 0.738
0.738 0.738 0.241
0.759 0.262 0.262
0.760 0.760 0.760
0.000 0.000 0.500
0.000 0.500 0.000
0.500 0.000 0.000
0.500 0.500 0.500
0.000 0.000 0.000
0.000 0.500 0.500
0.500 0.000 0.500
0.500 0.500 0.000
```

Properties
ΔE_f (raw)   -1.17 eV/atom
Size of the total moment   0.0001 μB/atom



Which value of size of the total moment does entry 1 give? 0.0000 μB/atom



Copy entry 3 word for word.
Here is a relaxed structure of CrHg6As4Br7 from Alexandria via LeMat-Bulk. Energies are from GGA-PBE.

Cell and atoms, written as POSCAR:
```
CrHg6As4Br7
1.0
12.579 0.000 0.000
0.000 12.579 0.000
0.000 0.000 12.579
Cr Hg As Br
4 24 16 28
direct
0.000 0.000 0.000
0.000 0.500 0.500
0.500 0.000 0.500
0.500 0.500 0.000
0.042 0.192 0.701
0.042 0.308 0.201
0.192 0.701 0.042
0.192 0.799 0.542
0.201 0.042 0.308
0.201 0.458 0.808
0.299 0.542 0.308
0.299 0.958 0.808
0.308 0.201 0.042
0.308 0.299 0.542
0.458 0.692 0.701
0.458 0.808 0.201
0.542 0.192 0.799
0.542 0.308 0.299
0.692 0.701 0.458
0.692 0.799 0.958
0.701 0.042 0.192
0.701 0.458 0.692
0.799 0.542 0.192
0.799 0.958 0.692
0.808 0.201 0.458
0.808 0.299 0.958
0.958 0.692 0.799
0.958 0.808 0.299
0.155 0.655 0.845
0.155 0.845 0.345
0.230 0.230 0.230
0.230 0.270 0.730
0.270 0.730 0.230
0.270 0.770 0.730
0.345 0.155 0.845
0.345 0.345 0.345
0.655 0.655 0.655
0.655 0.845 0.155
0.730 0.230 0.270
0.730 0.270 0.770
0.770 0.730 0.270
0.770 0.770 0.770
0.845 0.155 0.655
0.845 0.345 0.155
0.000 0.000 0.500
0.000 0.500 0.000
0.038 0.544 0.308
0.038 0.956 0.808
0.044 0.192 0.962
0.044 0.308 0.462
0.192 0.538 0.544
0.192 0.962 0.044
0.308 0.038 0.544
0.308 0.462 0.044
0.456 0.692 0.962
0.456 0.808 0.462
0.462 0.044 0.308
0.462 0.456 0.808
0.500 0.000 0.000
0.500 0.500 0.500
0.538 0.544 0.192
0.538 0.956 0.692
0.544 0.192 0.538
0.544 0.308 0.038
0.692 0.538 0.956
0.692 0.962 0.456
0.808 0.038 0.956
0.808 0.462 0.456
0.956 0.692 0.538
0.956 0.808 0.038
0.962 0.044 0.192
0.962 0.456 0.692
```

Properties
ΔE_f (raw)   -0.36 eV/atom
Size of the total moment   0.1663 μB/atom



Please write out number 3 again, unchanged.
Here is a relaxed structure of CrHg6As4Br7 from Alexandria via LeMat-Bulk. Energies are from GGA-PBE.

Cell and atoms, written as POSCAR:
```
CrHg6As4Br7
1.0
12.579 0.000 0.000
0.000 12.579 0.000
0.000 0.000 12.579
Cr Hg As Br
4 24 16 28
direct
0.000 0.000 0.000
0.000 0.500 0.500
0.500 0.000 0.500
0.500 0.500 0.000
0.042 0.192 0.701
0.042 0.308 0.201
0.192 0.701 0.042
0.192 0.799 0.542
0.201 0.042 0.308
0.201 0.458 0.808
0.299 0.542 0.308
0.299 0.958 0.808
0.308 0.201 0.042
0.308 0.299 0.542
0.458 0.692 0.701
0.458 0.808 0.201
0.542 0.192 0.799
0.542 0.308 0.299
0.692 0.701 0.458
0.692 0.799 0.958
0.701 0.042 0.192
0.701 0.458 0.692
0.799 0.542 0.192
0.799 0.958 0.692
0.808 0.201 0.458
0.808 0.299 0.958
0.958 0.692 0.799
0.958 0.808 0.299
0.155 0.655 0.845
0.155 0.845 0.345
0.230 0.230 0.230
0.230 0.270 0.730
0.270 0.730 0.230
0.270 0.770 0.730
0.345 0.155 0.845
0.345 0.345 0.345
0.655 0.655 0.655
0.655 0.845 0.155
0.730 0.230 0.270
0.730 0.270 0.770
0.770 0.730 0.270
0.770 0.770 0.770
0.845 0.155 0.655
0.845 0.345 0.155
0.000 0.000 0.500
0.000 0.500 0.000
0.038 0.544 0.308
0.038 0.956 0.808
0.044 0.192 0.962
0.044 0.308 0.462
0.192 0.538 0.544
0.192 0.962 0.044
0.308 0.038 0.544
0.308 0.462 0.044
0.456 0.692 0.962
0.456 0.808 0.462
0.462 0.044 0.308
0.462 0.456 0.808
0.500 0.000 0.000
0.500 0.500 0.500
0.538 0.544 0.192
0.538 0.956 0.692
0.544 0.192 0.538
0.544 0.308 0.038
0.692 0.538 0.956
0.692 0.962 0.456
0.808 0.038 0.956
0.808 0.462 0.456
0.956 0.692 0.538
0.956 0.808 0.038
0.962 0.044 0.192
0.962 0.456 0.692
```

Properties
ΔE_f (raw)   -0.36 eV/atom
Size of the total moment   0.1663 μB/atom